Below is Ba4Y after structural relaxation, with properties calculated at the PBE level.

POSCAR file:
```
Ba4Y
1.0
-4.3330 4.3330 4.3330
4.3330 -4.3330 4.3330
4.3330 4.3330 -4.3330
Ba Y
4 1
direct
0.5000 0.0000 0.0000
0.0000 0.0000 0.5000
0.0000 0.5000 0.0000
0.5000 0.5000 0.5000
0.0000 0.0000 0.0000
```

Output
The calculated volume comes out at 65.083 A^3/atom. The total energy is -2.361 eV per atom. Its symmetry is Im-3m (229). The calculation puts the formation energy at 0.470 eV/atom. The energy relative to the lowest polymorph listed for this composition comes out at 0.0224 eV per atom.